# 1
Compound: ZnAg2Au5
Source: Alexandria
Functional: PBE
Structure: optimized geometry

a b c (Å): 4.0865 5.8594 11.7745
angles (deg): 90.00 90.00 90.00
With the nearest neighbours (Å) after each atom.
Fractional positions:
1 Zn 0.0000 0.0000 0.5000  8 Au 2.81-2.93, 4 Ag 2.97
2 Zn 0.0000 0.5000 0.0000  8 Au 2.81-2.93, 4 Ag 2.97
3 Ag 0.5000 0.2645 0.6276  10 Au 2.87-3.01, 2 Zn 2.97
4 Ag 0.5000 0.7355 0.3724  10 Au 2.87-3.01, 2 Zn 2.97
5 Ag 0.5000 0.2355 0.1276  10 Au 2.87-3.01, 2 Zn 2.97
6 Ag 0.5000 0.7645 0.8724  10 Au 2.87-3.01, 2 Zn 2.97
7 Au 0.0000 0.0000 0.0000  4 Ag 2.89, 6 Au 2.92-3.02, 2 Zn 2.93
8 Au 0.0000 0.5000 0.5000  4 Ag 2.89, 6 Au 2.92-3.02, 2 Zn 2.93
9 Au 0.0000 0.5120 0.7563  4 Ag 2.87-2.93, 1 Zn 2.87, 7 Au 2.91-3.02
10 Au 0.0000 0.4880 0.2437  4 Ag 2.87-2.93, 1 Zn 2.87, 7 Au 2.91-3.02
11 Au 0.0000 0.9880 0.2563  4 Ag 2.87-2.93, 1 Zn 2.87, 7 Au 2.91-3.02
12 Au 0.0000 0.0120 0.7437  4 Ag 2.87-2.93, 1 Zn 2.87, 7 Au 2.91-3.02
13 Au 0.5000 0.2678 0.8833  2 Zn 2.81, 4 Ag 2.88-3.01, 6 Au 2.91-3.02
14 Au 0.5000 0.7322 0.1167  2 Zn 2.81, 4 Ag 2.88-3.01, 6 Au 2.91-3.02
15 Au 0.5000 0.2322 0.3833  2 Zn 2.81, 4 Ag 2.88-3.01, 6 Au 2.91-3.02
16 Au 0.5000 0.7678 0.6167  2 Zn 2.81, 4 Ag 2.88-3.01, 6 Au 2.91-3.02

## Properties
- Space-group type: Pbam (55)
- ρ: 14.91 g/cm³
- Total magnetization: 0.0 μB/f.u.
- ΔE to the lowest computed polymorph: 2.0 kJ/mol of formula units
- Fermi-level density of states: 4.024 states/eV/cell
- Calculated formation energy: -0.08 eV/atom


# 2
Compound: Zn7AgAu3
Source: Alexandria
Functional: PBE
Structure: optimized geometry

a b c (Å): 2.7959 14.5178 10.7477
angles (deg): 90.00 90.00 95.53
With the nearest neighbours (Å) after each atom.
Fractional positions:
1 Zn 0.4758 0.9516 0.7500  4 Zn 2.80-2.81, 4 Au 2.83, 2 Ag 3.03
2 Zn 0.5242 0.0484 0.2500  4 Zn 2.80-2.81, 4 Au 2.83, 2 Ag 3.03
3 Zn 0.4620 0.9239 0.4509  2 Zn 2.44-2.68, 2 Ag 2.72
4 Zn 0.5380 0.0761 0.5491  2 Zn 2.44-2.68, 2 Ag 2.72
5 Zn 0.5380 0.0761 0.9509  2 Zn 2.44-2.68, 2 Ag 2.72
6 Zn 0.4620 0.9239 0.0491  2 Zn 2.44-2.68, 2 Ag 2.72
7 Zn 0.3695 0.7390 0.4277  4 Zn 2.68-2.82, 4 Au 2.69-2.76, 2 Ag 2.97
8 Zn 0.6305 0.2610 0.5723  4 Zn 2.68-2.82, 4 Au 2.69-2.76, 2 Ag 2.97
9 Zn 0.2718 0.5436 0.4201  5 Zn 2.55-2.82, 2 Au 2.69
10 Zn 0.7282 0.4564 0.5799  5 Zn 2.55-2.82, 2 Au 2.69
11 Zn 0.7282 0.4564 0.9201  5 Zn 2.55-2.82, 2 Au 2.69
12 Zn 0.2718 0.5436 0.0799  5 Zn 2.55-2.82, 2 Au 2.69
13 Zn 0.3695 0.7390 0.0723  4 Zn 2.68-2.82, 4 Au 2.69-2.76, 2 Ag 2.97
14 Zn 0.6305 0.2610 0.9277  4 Zn 2.68-2.82, 4 Au 2.69-2.76, 2 Ag 2.97
15 Ag 0.9314 0.8627 0.2500  10 Zn 2.72-3.03, 2 Ag 2.80
16 Ag 0.0686 0.1373 0.7500  10 Zn 2.72-3.03, 2 Ag 2.80
17 Au 0.0935 0.1869 0.3828  6 Zn 2.69-2.83, 3 Au 2.80-2.85
18 Au 0.9065 0.8131 0.6172  6 Zn 2.69-2.83, 3 Au 2.80-2.85
19 Au 0.1800 0.3599 0.7500  8 Zn 2.69-2.76, 2 Au 2.80
20 Au 0.8200 0.6401 0.2500  8 Zn 2.69-2.76, 2 Au 2.80
21 Au 0.0935 0.1869 0.1172  6 Zn 2.69-2.83, 3 Au 2.80-2.85
22 Au 0.9065 0.8131 0.8828  6 Zn 2.69-2.83, 3 Au 2.80-2.85

## Properties
- Space-group type: Cmcm (63)
- ρ: 8.85 g/cm³
- Total magnetization: 0.0 μB/f.u.
- ΔE to the lowest computed polymorph: 50.5 kJ/mol of formula units
- Fermi-level density of states: 7.579 states/eV/cell
- Calculated formation energy: 0.01 eV/atom


# 3
Compound: ZnAg3Au4
Source: Alexandria
Functional: PBE
Structure: optimized geometry

a b c (Å): 4.1996 3.9594 8.9222
angles (deg): 77.04 103.61 90.00
With the nearest neighbours (Å) after each atom.
Fractional positions:
1 Zn 0.5000 0.0000 0.0000  8 Au 2.83-2.95, 4 Ag 2.89
2 Ag 0.0000 0.5000 0.0000  8 Au 2.86-2.92, 4 Zn 2.89
3 Ag 0.2491 0.2509 0.4983  4 Ag 2.89, 8 Au 2.90-3.03
4 Ag 0.7509 0.7491 0.5017  4 Ag 2.89, 8 Au 2.90-3.03
5 Au 0.6199 0.3804 0.2397  2 Zn 2.83, 4 Au 2.89, 6 Ag 2.92-3.03
6 Au 0.3801 0.6196 0.7603  2 Zn 2.83, 4 Au 2.89, 6 Ag 2.92-3.03
7 Au 0.8770 0.1227 0.7540  6 Ag 2.86-3.01, 4 Au 2.89, 2 Zn 2.95
8 Au 0.1230 0.8773 0.2460  6 Ag 2.86-3.01, 4 Au 2.89, 2 Zn 2.95

## Properties
- Space-group type: C2/m (12)
- ρ: 13.93 g/cm³
- Total magnetization: 0.0 μB/f.u.
- Fermi-level density of states: 2.378 states/eV/cell
- Calculated formation energy: -0.08 eV/atom


# 4
Compound: ZnAg2Au6
Source: Alexandria
Functional: PBE
Structure: optimized geometry

a b c (Å): 4.2597 8.6270 8.6272
angles (deg): 90.00 90.00 90.00
With the nearest neighbours (Å) after each atom.
Fractional positions:
1 Zn 0.5000 0.5000 0.0000  8 Au 2.84, 4 Ag 3.01
2 Zn 0.0000 0.0000 0.5000  8 Au 2.84, 4 Ag 3.01
3 Ag 0.0003 0.3255 0.8256  10 Au 2.84-2.99, 2 Zn 3.01
4 Ag 0.4997 0.8255 0.6744  10 Au 2.84-2.99, 2 Zn 3.01
5 Ag 0.5003 0.1745 0.3256  10 Au 2.84-2.99, 2 Zn 3.01
6 Ag 0.9997 0.6745 0.1744  10 Au 2.84-2.99, 2 Zn 3.01
7 Au 0.0000 0.0076 0.1713  1 Zn 2.84, 3 Ag 2.87-2.90, 8 Au 2.93-2.99
8 Au 0.9997 0.6713 0.5075  1 Zn 2.84, 3 Ag 2.87-2.89, 8 Au 2.93-2.99
9 Au 0.9997 0.6535 0.8464  4 Ag 2.84-2.99, 2 Zn 2.84, 6 Au 2.93-2.96
10 Au 0.5003 0.1535 0.6536  4 Ag 2.84-2.99, 2 Zn 2.84, 6 Au 2.93-2.96
11 Au 0.5003 0.1713 0.9925  1 Zn 2.84, 3 Ag 2.87-2.89, 8 Au 2.93-2.99
12 Au 0.5000 0.5076 0.3287  1 Zn 2.84, 3 Ag 2.87-2.90, 8 Au 2.93-2.99
13 Au 0.0000 0.9924 0.8287  1 Zn 2.84, 3 Ag 2.87-2.90, 8 Au 2.93-2.99
14 Au 0.0003 0.3287 0.4925  1 Zn 2.84, 3 Ag 2.87-2.89, 8 Au 2.93-2.99
15 Au 0.0003 0.3465 0.1536  4 Ag 2.84-2.99, 2 Zn 2.84, 6 Au 2.93-2.96
16 Au 0.4997 0.8465 0.3464  4 Ag 2.84-2.99, 2 Zn 2.84, 6 Au 2.93-2.96
17 Au 0.4997 0.8287 0.0075  1 Zn 2.84, 3 Ag 2.87-2.89, 8 Au 2.93-2.99
18 Au 0.5000 0.4924 0.6713  1 Zn 2.84, 3 Ag 2.87-2.90, 8 Au 2.93-2.99

## Properties
- Space-group type: P4_2/mnm (136)
- ρ: 15.32 g/cm³
- Total magnetization: 0.0 μB/f.u.
- ΔE to the lowest computed polymorph: 0.0 kJ/mol of formula units
- Fermi-level density of states: 4.508 states/eV/cell
- Calculated formation energy: -0.07 eV/atom


# 5
Compound: Zn3Ag3Au
Source: Alexandria
Functional: PBE
Structure: optimized geometry

a b c (Å): 6.6704 6.6704 5.4827
angles (deg): 90.00 90.00 89.51
With the nearest neighbours (Å) after each atom.
Fractional positions:
1 Zn 0.0000 0.0000 0.7478  2 Au 2.64, 2 Ag 2.68, 2 Zn 2.72-2.76
2 Zn 0.5000 0.0000 0.2488  2 Au 2.72, 2 Zn 2.73-2.75, 6 Ag 2.74-2.86
3 Zn 0.0000 0.5000 0.2488  2 Au 2.72, 2 Zn 2.73-2.75, 6 Ag 2.74-2.86
4 Zn 0.5000 0.0000 0.7512  2 Au 2.72, 2 Zn 2.73-2.75, 6 Ag 2.74-2.86
5 Zn 0.0000 0.5000 0.7512  2 Au 2.72, 2 Zn 2.73-2.75, 6 Ag 2.74-2.86
6 Zn 0.0000 0.0000 0.2522  2 Au 2.64, 2 Ag 2.68, 2 Zn 2.72-2.76
7 Ag 0.3319 0.3319 0.5000  4 Zn 2.83, 2 Ag 2.87, 2 Au 2.88
8 Ag 0.2464 0.7536 0.5000  6 Zn 2.68-2.74, 4 Ag 2.87
9 Ag 0.7536 0.2464 0.5000  6 Zn 2.68-2.74, 4 Ag 2.87
10 Ag 0.3383 0.6617 0.0000  4 Zn 2.86, 3 Ag 2.87-3.04, 2 Au 2.91
11 Ag 0.6617 0.3383 0.0000  4 Zn 2.86, 3 Ag 2.87-3.04, 2 Au 2.91
12 Ag 0.6681 0.6681 0.5000  4 Zn 2.83, 2 Ag 2.87, 2 Au 2.88
13 Au 0.2377 0.2377 0.0000  6 Zn 2.64-2.72, 4 Ag 2.88-2.91
14 Au 0.7623 0.7623 0.0000  6 Zn 2.64-2.72, 4 Ag 2.88-2.91

## Properties
- Space-group type: Cmmm (65)
- ρ: 9.76 g/cm³
- Total magnetization: 0.0 μB/f.u.
- ΔE to the lowest computed polymorph: 0.0 kJ/mol of formula units
- Fermi-level density of states: 3.058 states/eV/cell
- Calculated formation energy: -0.03 eV/atom


# 6
Compound: ZnAgAu
Source: Alexandria
Functional: PBE
Structure: optimized geometry

a b c (Å): 4.3315 4.3315 4.3315
angles (deg): 60.00 60.00 60.00
With the nearest neighbours (Å) after each atom.
Fractional positions:
1 Ag 0.0000 0.0000 0.0000  4 Zn 2.65
2 Au 0.5000 0.5000 0.5000  4 Zn 2.65
3 Zn 0.7500 0.7500 0.7500  4 Ag 2.65, 4 Au 2.65

## Properties
- Space-group type: F-43m (216)
- ρ: 10.70 g/cm³
- Total magnetization: 0.0 μB/f.u.
- ΔE to the lowest computed polymorph: 33.2 kJ/mol of formula units
- Fermi-level density of states: 0.929 states/eV/cell
- Calculated formation energy: 0.00 eV/atom


# 7
Compound: ZnAg4Au5
Source: Alexandria
Functional: PBE
Structure: optimized geometry

a b c (Å): 2.9060 2.9060 20.8129
angles (deg): 90.00 90.00 90.00
With the nearest neighbours (Å) after each atom.
Fractional positions:
1 Zn 0.0000 0.0000 0.0000  8 Au 2.77, 4 Zn 2.91
2 Ag 0.0000 0.0000 0.1936  4 Ag 2.91, 8 Au 2.96-2.99
3 Ag 0.0000 0.0000 0.3980  4 Ag 2.91, 8 Au 2.95-2.96
4 Ag 0.0000 0.0000 0.6020  4 Ag 2.91, 8 Au 2.95-2.96
5 Ag 0.0000 0.0000 0.8064  4 Ag 2.91, 8 Au 2.96-2.99
6 Au 0.5000 0.5000 0.0892  4 Zn 2.77, 4 Au 2.91, 4 Ag 2.99
7 Au 0.5000 0.5000 0.2957  4 Au 2.91, 8 Ag 2.96
8 Au 0.5000 0.5000 0.5000  4 Au 2.91, 8 Ag 2.95
9 Au 0.5000 0.5000 0.7043  4 Au 2.91, 8 Ag 2.96
10 Au 0.5000 0.5000 0.9108  4 Zn 2.77, 4 Au 2.91, 4 Ag 2.99

## Properties
- Space-group type: P4/mmm (123)
- ρ: 14.00 g/cm³
- Total magnetization: 0.0 μB/f.u.
- Fermi-level density of states: 3.376 states/eV/cell
- Calculated formation energy: -0.08 eV/atom


# 8
Compound: Zn6AgAu3
Source: Alexandria
Functional: PBE
Structure: optimized geometry

a b c (Å): 4.5406 7.5951 10.1479
angles (deg): 113.99 90.00 90.00
With the nearest neighbours (Å) after each atom.
Fractional positions:
1 Zn 0.2500 0.4642 0.0705  7 Au 2.74-2.94, 5 Zn 2.83-2.90
2 Zn 0.7500 0.5358 0.9295  7 Au 2.74-2.94, 5 Zn 2.83-2.90
3 Zn 0.2500 0.1662 0.1701  8 Zn 2.75-2.87, 4 Au 2.79-2.82
4 Zn 0.7500 0.8338 0.8299  8 Zn 2.75-2.87, 4 Au 2.79-2.82
5 Zn 0.2500 0.6686 0.6755  5 Au 2.73-2.92, 6 Zn 2.75-2.92, 1 Ag 2.81
6 Zn 0.7500 0.3314 0.3245  5 Au 2.73-2.92, 6 Zn 2.75-2.92, 1 Ag 2.81
7 Zn 0.2500 0.2645 0.4737  4 Au 2.74-2.87, 3 Ag 2.76-2.87, 5 Zn 2.86-2.92
8 Zn 0.7500 0.7355 0.5263  4 Au 2.74-2.87, 3 Ag 2.76-2.87, 5 Zn 2.86-2.92
9 Zn 0.2500 0.8636 0.2712  4 Au 2.76-2.97, 3 Ag 2.79-2.82, 5 Zn 2.84-2.90
10 Zn 0.7500 0.1364 0.7288  4 Au 2.76-2.97, 3 Ag 2.79-2.82, 5 Zn 2.84-2.90
11 Zn 0.2500 0.0637 0.8669  4 Au 2.75-2.78, 1 Ag 2.78, 7 Zn 2.80-2.90
12 Zn 0.7500 0.9363 0.1331  4 Au 2.75-2.78, 1 Ag 2.78, 7 Zn 2.80-2.90
13 Ag 0.2500 0.9580 0.5705  8 Zn 2.76-2.87, 2 Ag 2.89, 2 Au 2.92-2.94
14 Ag 0.7500 0.0420 0.4295  8 Zn 2.76-2.87, 2 Ag 2.89, 2 Au 2.92-2.94
15 Au 0.2500 0.5477 0.3721  9 Zn 2.73-2.97, 1 Ag 2.94, 2 Au 2.97
16 Au 0.7500 0.4523 0.6279  9 Zn 2.73-2.97, 1 Ag 2.94, 2 Au 2.97
17 Au 0.2500 0.3603 0.7782  8 Zn 2.74-2.92, 1 Ag 2.92, 3 Au 2.97-3.00
18 Au 0.7500 0.6397 0.2218  8 Zn 2.74-2.92, 1 Ag 2.92, 3 Au 2.97-3.00
19 Au 0.2500 0.7805 0.9739  11 Zn 2.76-2.94, 1 Au 3.00
20 Au 0.7500 0.2195 0.0261  11 Zn 2.76-2.94, 1 Au 3.00

## Properties
- Space-group type: P2_1/m (11)
- ρ: 11.33 g/cm³
- Total magnetization: 0.0 μB/f.u.
- ΔE to the lowest computed polymorph: 0.0 kJ/mol of formula units
- Fermi-level density of states: 4.160 states/eV/cell
- Calculated formation energy: -0.15 eV/atom


Q: Which value of calculated formation energy does entry 5 give?
A: -0.03 eV/atom